No. 1
A relaxed structure of AsRh. Source: Alexandria, functional PBE.

Unit cell a=5.7089 b=3.6523 c=6.1342 alpha=90.00 beta=90.00 gamma=90.00
Last column: nearest neighbours and their distance in Å.
Sites, in units of the cell vectors:
1 As 0.1950 0.2500 0.0863  6 Rh 2.45-2.65
2 As 0.3050 0.7500 0.5863  6 Rh 2.45-2.65
3 As 0.6950 0.2500 0.4137  6 Rh 2.45-2.65
4 As 0.8050 0.7500 0.9137  6 Rh 2.45-2.65
5 Rh 0.0011 0.2500 0.6945  6 As 2.45-2.65
6 Rh 0.4989 0.7500 0.1945  6 As 2.45-2.65
7 Rh 0.5011 0.2500 0.8055  6 As 2.45-2.65
8 Rh 0.9989 0.7500 0.3055  6 As 2.45-2.65

---

No. 2
A relaxed structure of KBa3Sn. Source: Alexandria, functional PBE.

Unit cell a=6.4688 b=6.4688 c=6.4688 alpha=90.00 beta=90.00 gamma=90.00
Last column: nearest neighbours and their distance in Å.
Sites, in units of the cell vectors:
1 K 0.0000 0.0000 0.0000  6 Ba 3.23
2 Ba 0.0000 0.0000 0.5000  2 K 3.23
3 Ba 0.0000 0.5000 0.0000  2 K 3.23
4 Ba 0.5000 0.0000 0.0000  2 K 3.23
5 Sn 0.5000 0.5000 0.5000  12 Ba 4.57

Energy above the lowest structure with this stoichiometry   825 meV per atom

---

No. 3
A relaxed structure of GeOsS2. Source: Alexandria, functional PBE.

Unit cell a=6.4082 b=6.4082 c=6.4082 alpha=124.88 beta=124.88 gamma=81.73
Last column: nearest neighbours and their distance in Å.
Sites, in units of the cell vectors:
1 Ge 0.0000 0.0000 0.0000  4 S 2.62
2 Ge 0.7500 0.2500 0.5000  4 S 2.62
3 Os 0.2500 0.7500 0.5000  4 S 2.25
4 Os 0.5000 0.5000 0.0000  4 S 2.25
5 S 0.1758 0.6250 0.0508  2 Os 2.25
6 S 0.3750 0.4258 0.5508  2 Os 2.25
7 S 0.5742 0.1250 0.9492  2 Os 2.25
8 S 0.8750 0.8242 0.4492  2 Os 2.25

Formation energy without anion corrections   0.27 eV per atom

---

DFT total energy: -51.91, -7.70, -46.03 (eV per cell)
Theoretical density: 9.23, 3.50, 6.37 (Mg/m³)